No. 1
VASP calculation (PBEsol) on a geometry-optimized Cr2SbTe structure.

The structure belongs to space group P4/mmm (No. 123); the cell edges are 4.517, 4.517 and 3.194 Å and the angles 90.00°, 90.00° and 90.00°. The asymmetric unit holds Cr at (0.000, 0.500, 0.000), Sb at (0.000, 0.000, 0.500) and Te at (0.500, 0.500, 0.500).

As for the spin magnetization: 0.4673 μB per atom. The density of states at the Fermi level comes out at 3.97 states/eV per cell.


No. 2
VASP calculation (PBEsol) on a geometry-optimized TiCrSb2Te structure.

The structure belongs to space group P4/mmm (No. 123); the cell edges are 5.191, 5.191 and 5.180 Å and the angles 90.00°, 90.00° and 90.00°. The asymmetric unit holds Ti at (0.000, 0.000, 0.000), Cr at (0.500, 0.500, 0.500), Sb at (0.000, 0.500, 0.000) and Te at (0.000, 0.000, 0.500).

As for the spin magnetization: 0.9357 μB per atom. The density of states at the Fermi level comes out at 3.89 states/eV per cell.


No. 3
VASP calculation (PBEsol) on a geometry-optimized ZnCrSb2Te structure.

The structure belongs to space group P4/mmm (No. 123); the cell edges are 5.069, 5.069 and 5.291 Å and the angles 90.00°, 90.00° and 90.00°. The asymmetric unit holds Zn at (0.000, 0.000, 0.000), Cr at (0.500, 0.500, 0.500), Sb at (0.000, 0.500, 0.000) and Te at (0.000, 0.000, 0.500).

Its relative energy among the computed polymorphs is 369.4 meV per atom. As for the spin magnetization: 0.8635 μB per atom. The density of states at the Fermi level comes out at 3.80 states/eV per cell.


No. 4
VASP calculation (PBEsol) on a geometry-optimized ZnCrSb2Te structure.

The structure belongs to space group P4/mmm (No. 123); the cell edges are 4.972, 4.972 and 5.098 Å and the angles 90.00°, 90.00° and 90.00°. The asymmetric unit holds Zn at (0.000, 0.000, 0.000), Cr at (0.500, 0.500, 0.500), Sb at (0.000, 0.500, 0.500) and Te at (0.500, 0.500, 0.000).

Its relative energy among the computed polymorphs is 0.0 meV per atom. As for the spin magnetization: 0.2506 μB per atom. The density of states at the Fermi level comes out at 4.16 states/eV per cell.


No. 5
VASP calculation (PBEsol) on a geometry-optimized ZrCrSbTe2 structure.

The structure belongs to space group P4/mmm (No. 123); the cell edges are 5.477, 5.477 and 5.495 Å and the angles 90.00°, 90.00° and 90.00°. The asymmetric unit holds Zr at (0.000, 0.000, 0.000), Cr at (0.500, 0.500, 0.500), Sb at (0.000, 0.000, 0.500) and Te at (0.000, 0.500, 0.000).

As for the spin magnetization: 0.9120 μB per atom. The density of states at the Fermi level comes out at 4.71 states/eV per cell.


No. 6
VASP calculation (PBEsol) on a geometry-optimized Ti10CrSb5 structure.

The structure belongs to space group I422 (No. 97); the cell edges are 10.389, 10.389 and 5.179 Å and the angles 90.00°, 90.00° and 90.00°. The asymmetric unit holds Ti at (0.000, 0.500, 0.000), Ti at (0.075, 0.216, 0.265), Cr at (0.000, 0.000, 0.500), Sb at (0.000, 0.000, 0.000) and Sb at (0.164, 0.336, 0.750).

As for the spin magnetization: 0.0002 μB per atom. The density of states at the Fermi level comes out at 30.92 states/eV per cell.


No. 7
VASP calculation (PBEsol) on a geometry-optimized Tl2CrSb structure.

The structure belongs to space group R-3m (No. 166, hexagonal axes); the cell edges are 3.3300, 3.3300 and 29.8893 Å and the angles 90.00°, 90.00° and 120.00°. The asymmetric unit holds Tl at (0.0000, 0.0000, 0.2414), Cr at (0.0000, 0.0000, 0.5000) and Sb at (0.0000, 0.0000, 0.0000).

Its relative energy among the computed polymorphs is 73.7 meV per atom. As for the spin magnetization: 1.0867 μB per atom. The density of states at the Fermi level comes out at 6.89 states/eV per cell.


No. 8
VASP calculation (PBEsol) on a geometry-optimized Tl2CrSb structure.

The structure belongs to space group P4/mmm (No. 123); the cell edges are 3.899, 3.899 and 6.354 Å and the angles 90.00°, 90.00° and 90.00°. The asymmetric unit holds Tl at (0.000, 0.000, 0.242), Cr at (0.500, 0.500, 0.000) and Sb at (0.500, 0.500, 0.500).

Its relative energy among the computed polymorphs is 57.2 meV per atom. As for the spin magnetization: 1.0879 μB per atom. The density of states at the Fermi level comes out at 2.30 states/eV per cell.


No. 9
VASP calculation (PBEsol) on a geometry-optimized TlCrSb2 structure.

The structure belongs to space group Imm2 (No. 44); the cell edges are 3.139, 3.479 and 17.992 Å and the angles 90.00°, 90.00° and 90.00°. The asymmetric unit holds Tl at (0.000, 0.000, 0.000), Cr at (0.000, 0.500, 0.733), Sb at (0.000, 0.000, 0.355) and Sb at (0.000, 0.500, 0.159).

Its relative energy among the computed polymorphs is 0.0 meV per atom. As for the spin magnetization: 0.5963 μB per atom. The density of states at the Fermi level comes out at 5.21 states/eV per cell.


No. 10
VASP calculation (PBEsol) on a geometry-optimized TlCr2Sb structure.

The structure belongs to space group I-4m2 (No. 119); the cell edges are 3.921, 3.921 and 9.724 Å and the angles 90.00°, 90.00° and 90.00°. The asymmetric unit holds Tl at (0.000, 0.000, 0.000), Cr at (0.000, 0.000, 0.500), Cr at (0.000, 0.500, 0.250) and Sb at (0.000, 0.500, 0.750).

As for the spin magnetization: 1.6122 μB per atom. The density of states at the Fermi level comes out at 3.93 states/eV per cell.


No. 11
VASP calculation (PBEsol) on a geometry-optimized Tl2CrSb structure.

The structure belongs to space group F-43m (No. 216); the cell edges are 7.335, 7.335 and 7.335 Å and the angles 90.00°, 90.00° and 90.00°. The asymmetric unit holds Tl at (0.000, 0.000, 0.000), Tl at (0.250, 0.250, 0.250), Cr at (0.250, 0.250, 0.750) and Sb at (0.000, 0.000, 0.500).

Its relative energy among the computed polymorphs is 0.0 meV per atom. As for the spin magnetization: 1.1590 μB per atom. The density of states at the Fermi level comes out at 9.28 states/eV per cell.


No. 12
VASP calculation (PBEsol) on a geometry-optimized TlCrSb2 structure.

The structure belongs to space group I-42d (No. 122); the cell edges are 6.106, 6.106 and 13.495 Å and the angles 90.00°, 90.00° and 90.00°. The asymmetric unit holds Tl at (0.000, 0.000, 0.000), Cr at (0.000, 0.000, 0.500) and Sb at (0.200, 0.250, 0.625).

Its relative energy among the computed polymorphs is 225.7 meV per atom. As for the spin magnetization: 0.7424 μB per atom. The density of states at the Fermi level comes out at 8.18 states/eV per cell.


| no. | E_form (uncorrected) (meV per atom) |
| --- | --- |
| 1 | 447 |
| 2 | 556 |
| 3 | 881 |
| 4 | 512 |
| 5 | 520 |
| 6 | -491 |
| 7 | 525 |
| 8 | 509 |
| 9 | 248 |
| 10 | 597 |
| 11 | 451 |
| 12 | 474 |